*1*
Computed, not measured: a geometry-optimized FeWBr2 structure at the PBE level of DFT.

symmetry = No. 47
spin magnetization = 3.79 μB per formula unit

Cell lengths 2.9871, 4.4216, 5.8236 Å; angles 90.00, 90.00, 90.00 degrees
Atoms (fractional coordinates):
Fe1 0.0000 0.0000 0.0000
W1 0.5000 0.0000 0.5000
Br1 0.0000 0.5000 0.5000
Br2 0.5000 0.5000 0.0000

*2*
Computed, not measured: a geometry-optimized FeWBr2 structure at the PBE level of DFT.

symmetry = No. 166
spin magnetization = 3.18 μB per formula unit

Cell lengths 9.2934, 9.2934, 9.2934 Å; angles 19.39, 19.39, 19.39 degrees
Atoms (fractional coordinates):
Fe1 0.0000 0.0000 0.0000
W1 0.5000 0.5000 0.5000
Br1 0.0954 0.0954 0.0954
Br2 0.9046 0.9046 0.9046

*3*
Computed, not measured: a geometry-optimized FeWBr2 structure at the PBE level of DFT.

symmetry = No. 123
spin magnetization = 1.40 μB per formula unit

Cell lengths 3.2229, 3.2229, 6.4371 Å; angles 90.00, 90.00, 90.00 degrees
Atoms (fractional coordinates):
Fe1 0.0000 0.0000 0.0000
W1 0.0000 0.0000 0.5000
Br1 0.5000 0.5000 0.2461
Br2 0.5000 0.5000 0.7539

*4*
Computed, not measured: a geometry-optimized FeWBr2 structure at the PBE level of DFT.

symmetry = No. 44
spin magnetization = 0.00 μB per formula unit

Cell lengths 9.2301, 9.2301, 9.2301 Å; angles 160.72, 159.76, 28.10 degrees
Atoms (fractional coordinates):
Fe1 0.0000 0.0000 0.0000
W1 0.4125 0.9125 0.5000
Br1 0.5918 0.5918 0.0000
Br2 0.8121 0.3121 0.5000

Need the numbers? Relative energies in kJ/mol of atoms: *1* 61.0; *2* 34.0; *3* 64.3; *4* 0.0.